No. 1
The following is a PBE calculation of a geometry-optimized Be2Cd2In structure, from Alexandria via LeMat-Bulk.

Output
calculated formation energy = 0.446 eV/atom
raw total energy = -1.958 eV/atom
polymorph energy (0 for the lowest one) = 0.0 meV per atom

Cell lengths 4.0426, 4.0426, 11.3326 Å; angles 90.00, 90.00, 90.00 degrees
Space group I4/mmm (No. 139)
Inequivalent atoms, fractional coordinates:
Be (0.0000, 0.0000, 0.0928)
Cd (0.0000, 0.5000, 0.2500)
In (0.0000, 0.0000, 0.5000)

No. 2
The following is a PBE calculation of a geometry-optimized BeCd2In structure, from Alexandria via LeMat-Bulk.

Output
calculated formation energy = 0.389 eV/atom
raw total energy = -1.685 eV/atom
polymorph energy (0 for the lowest one) = 153.0 meV per atom

Cell lengths 4.3278, 4.3278, 8.5578 Å; angles 90.00, 90.00, 90.00 degrees
Space group I-4m2 (No. 119)
Inequivalent atoms, fractional coordinates:
Be (0.0000, 0.0000, 0.0000)
Cd (0.0000, 0.0000, 0.5000)
Cd (0.0000, 0.5000, 0.7500)
In (0.0000, 0.5000, 0.2500)

No. 3
The following is a PBE calculation of a geometry-optimized BeCd2In structure, from Alexandria via LeMat-Bulk.

Output
calculated formation energy = 0.255 eV/atom
raw total energy = -1.818 eV/atom
polymorph energy (0 for the lowest one) = 19.8 meV per atom

Cell lengths 9.0468, 3.0334, 6.6122 Å; angles 90.00, 111.00, 90.00 degrees
Space group Cm (No. 8)
Inequivalent atoms, fractional coordinates:
Be (0.0000, 0.0000, 0.0000)
Cd (0.2757, 0.0000, 0.9990)
Cd (0.4613, 0.0000, 0.6585)
In (0.1435, 0.5000, 0.3569)

No. 4
The following is a PBE calculation of a geometry-optimized BeCdIn2 structure, from Alexandria via LeMat-Bulk.

Output
calculated formation energy = 0.266 eV/atom
raw total energy = -2.264 eV/atom
polymorph energy (0 for the lowest one) = 0.0 meV per atom

Cell lengths 9.3007, 3.0606, 6.6080 Å; angles 90.00, 110.58, 90.00 degrees
Space group Cm (No. 8)
Inequivalent atoms, fractional coordinates:
Be (0.0000, 0.0000, 0.0000)
Cd (0.2810, 0.0000, 0.0143)
In (0.1503, 0.5000, 0.3605)
In (0.4652, 0.0000, 0.6498)

No. 5
The following is a PBE calculation of a geometry-optimized Be2CdIn structure, from Alexandria via LeMat-Bulk.

Output
calculated formation energy = 0.585 eV/atom
raw total energy = -2.192 eV/atom
polymorph energy (0 for the lowest one) = 200.0 meV per atom

Cell lengths 4.1175, 4.1175, 7.6973 Å; angles 90.00, 90.00, 90.00 degrees
Space group I4/mmm (No. 139)
Inequivalent atoms, fractional coordinates:
Be (0.0000, 0.5000, 0.2500)
Cd (0.0000, 0.0000, 0.0000)
In (0.0000, 0.0000, 0.5000)

No. 6
The following is a PBE calculation of a geometry-optimized BeCd2In2 structure, from Alexandria via LeMat-Bulk.

Output
calculated formation energy = 0.332 eV/atom
raw total energy = -1.875 eV/atom
polymorph energy (0 for the lowest one) = 0.0 meV per atom

Cell lengths 6.8587, 6.8587, 4.9174 Å; angles 90.00, 90.00, 90.00 degrees
Space group P4/mbm (No. 127)
Inequivalent atoms, fractional coordinates:
Be (0.0000, 0.0000, 0.0000)
Cd (0.1583, 0.3417, 0.5000)
In (0.1610, 0.6610, 0.0000)

No. 7
The following is a PBE calculation of a geometry-optimized Be2CdIn structure, from Alexandria via LeMat-Bulk.

Output
calculated formation energy = 0.625 eV/atom
raw total energy = -2.151 eV/atom
polymorph energy (0 for the lowest one) = 240.5 meV per atom

Cell lengths 2.8287, 4.2519, 5.9086 Å; angles 90.00, 90.00, 90.00 degrees
Space group Pmmm (No. 47)
Inequivalent atoms, fractional coordinates:
Be (0.0000, 0.0000, 0.0000)
Be (0.5000, 0.0000, 0.5000)
Cd (0.0000, 0.5000, 0.5000)
In (0.5000, 0.5000, 0.0000)

No. 8
The following is a PBE calculation of a geometry-optimized BeCd2In structure, from Alexandria via LeMat-Bulk.

Output
calculated formation energy = 0.301 eV/atom
raw total energy = -1.773 eV/atom
polymorph energy (0 for the lowest one) = 65.7 meV per atom

Cell lengths 2.9254, 3.2866, 8.3551 Å; angles 90.00, 90.00, 90.00 degrees
Space group Pmm2 (No. 25)
Inequivalent atoms, fractional coordinates:
Be (0.0000, 0.0000, 0.0000)
Cd (0.0000, 0.0000, 0.4781)
Cd (0.5000, 0.5000, 0.1915)
In (0.5000, 0.5000, 0.7901)

No. 9
The following is a PBE calculation of a geometry-optimized BeCd2In structure, from Alexandria via LeMat-Bulk.

Output
calculated formation energy = 0.335 eV/atom
raw total energy = -1.739 eV/atom
polymorph energy (0 for the lowest one) = 99.4 meV per atom

Cell lengths 3.7039, 4.4170, 5.2883 Å; angles 90.00, 105.00, 90.00 degrees
Space group P2/m (No. 10)
Inequivalent atoms, fractional coordinates:
Be (0.0000, 0.0000, 0.0000)
Cd (0.3396, 0.5000, 0.2202)
In (0.0000, 0.0000, 0.5000)

No. 10
The following is a PBE calculation of a geometry-optimized BeCdIn2 structure, from Alexandria via LeMat-Bulk.

Output
calculated formation energy = 0.342 eV/atom
raw total energy = -2.188 eV/atom
polymorph energy (0 for the lowest one) = 75.8 meV per atom

Cell lengths 3.1297, 3.1297, 8.5410 Å; angles 90.00, 90.00, 90.00 degrees
Space group P4/mmm (No. 123)
Inequivalent atoms, fractional coordinates:
Be (0.0000, 0.0000, 0.0000)
Cd (0.0000, 0.0000, 0.5000)
In (0.5000, 0.5000, 0.2105)

No. 11
The following is a PBE calculation of a geometry-optimized Be2CdInIr structure, from Alexandria via LeMat-Bulk.

Output
calculated formation energy = 1.501 eV/atom
raw total energy = -2.492 eV/atom

Cell lengths 4.3566, 4.3566, 5.3113 Å; angles 90.00, 90.00, 90.00 degrees
Space group P4/mmm (No. 123)
Inequivalent atoms, fractional coordinates:
Be (0.0000, 0.5000, 0.0000)
Cd (0.0000, 0.0000, 0.5000)
In (0.0000, 0.0000, 0.0000)
Ir (0.5000, 0.5000, 0.5000)

No. 12
The following is a PBE calculation of a geometry-optimized LaBeCd2In structure, from Alexandria via LeMat-Bulk.

Output
calculated formation energy = 0.352 eV/atom
raw total energy = -2.292 eV/atom

Cell lengths 5.4801, 5.4801, 4.5806 Å; angles 90.00, 90.00, 90.00 degrees
Space group P4/mmm (No. 123)
Inequivalent atoms, fractional coordinates:
La (0.0000, 0.0000, 0.0000)
Be (0.5000, 0.5000, 0.0000)
Cd (0.0000, 0.5000, 0.5000)
In (0.5000, 0.5000, 0.5000)

What did the first record say?
The following is a PBE calculation of a geometry-optimized Be2Cd2In structure, from Alexandria via LeMat-Bulk.

Output
calculated formation energy = 0.446 eV/atom
raw total energy = -1.958 eV/atom
polymorph energy (0 for the lowest one) = 0.0 meV per atom

Cell lengths 4.0426, 4.0426, 11.3326 Å; angles 90.00, 90.00, 90.00 degrees
Space group I4/mmm (No. 139)
Inequivalent atoms, fractional coordinates:
Be (0.0000, 0.0000, 0.0928)
Cd (0.0000, 0.5000, 0.2500)
In (0.0000, 0.0000, 0.5000)

calculated formation energy of number 1 (Be2Cd2In)?
0.446 eV/atom

Copy entry 10 word for word.
The following is a PBE calculation of a geometry-optimized BeCdIn2 structure, from Alexandria via LeMat-Bulk.

Output
calculated formation energy = 0.342 eV/atom
raw total energy = -2.188 eV/atom
polymorph energy (0 for the lowest one) = 75.8 meV per atom

Cell lengths 3.1297, 3.1297, 8.5410 Å; angles 90.00, 90.00, 90.00 degrees
Space group P4/mmm (No. 123)
Inequivalent atoms, fractional coordinates:
Be (0.0000, 0.0000, 0.0000)
Cd (0.0000, 0.0000, 0.5000)
In (0.5000, 0.5000, 0.2105)

What is the formula in the second record?
BeCd2In